[1]
Compound: Ca2CoAg
Source: Alexandria
Functional: PBE-GGA
Structure: relaxed

a = 3.4927 Å, b = 4.8520 Å, c = 11.0077 Å
α = 90.00°, β = 90.00°, γ = 90.00°
Space group Imm2 (No. 44)
Asymmetric unit:
Ca 0.0000 0.0000 0.0000 (multiplicity 2)
Ca 0.0000 0.5000 0.2075 (multiplicity 2)
Co 0.0000 0.5000 0.7400 (multiplicity 2)
Ag 0.0000 0.0000 0.4202 (multiplicity 2)

Values from the calculation:
Its crystal system is orthorhombic.

---

[2]
Compound: Hf6NiBi2
Source: Alexandria
Functional: PBE-GGA
Structure: relaxed

a = 5.8427 Å, b = 7.1533 Å, c = 11.2369 Å
α = 90.00°, β = 120.94°, γ = 90.00°
Space group P2_1/c (No. 14)
Asymmetric unit:
Hf 0.1110 0.0354 0.2483 (multiplicity 4)
Hf 0.1680 0.7256 0.0312 (multiplicity 4)
Hf 0.3723 0.1680 0.0193 (multiplicity 4)
Ni 0.5000 0.0000 0.5000 (multiplicity 2)
Bi 0.3520 0.0911 0.7340 (multiplicity 4)

Values from the calculation:
Its crystal system is monoclinic.

---

[3]
Compound: Nd2As3PRh4
Source: Alexandria
Functional: PBE-GGA
Structure: relaxed

a = 4.2817 Å, b = 4.2817 Å, c = 9.8593 Å
α = 90.00°, β = 90.00°, γ = 90.00°
Space group P-4m2 (No. 115)
Asymmetric unit:
Nd 0.0000 0.5000 0.2412 (multiplicity 2)
As 0.0000 0.0000 0.0000 (multiplicity 1)
As 0.0000 0.5000 0.6396 (multiplicity 2)
P 0.5000 0.5000 0.0000 (multiplicity 1)
Rh 0.0000 0.0000 0.5000 (multiplicity 1)
Rh 0.0000 0.5000 0.8892 (multiplicity 2)
Rh 0.5000 0.5000 0.5000 (multiplicity 1)

Values from the calculation:
Its crystal system is tetragonal.

---

Final energy in eV per atom, matching the order above: -3.338; -8.203; -6.800
ΔH_f (0 K) in eV/atom, matching the order above: 0.152; -0.063; -0.970
Calculated volume in Å³/f.u., matching the order above: 93; 201; 181